The following is a PBE calculation of a relaxed structure of AcAsPdAu, from Alexandria.

a b c (Å): 5.0747 5.0747 5.0747
angles (deg): 60.00 60.00 60.00
With the nearest neighbours (Å) after each atom.
Fractional positions:
1 Ac 0.0000 0.0000 0.0000  4 Au 3.11, 4 Pd 3.11
2 As 0.5000 0.5000 0.5000  4 Au 3.11, 4 Pd 3.11
3 Pd 0.2500 0.2500 0.2500  4 As 3.11, 4 Ac 3.11
4 Au 0.7500 0.7500 0.7500  4 As 3.11, 4 Ac 3.11

VASP energy (eV/atom): -4.84
Symmetry: F-43m
Formation enthalpy at 0 K (meV per atom): -529


The following is a PBE calculation of a relaxed structure of HfMg6Ni, from Alexandria.

a b c (Å): 4.8704 6.3897 6.3897
angles (deg): 54.31 90.00 90.00
With the nearest neighbours (Å) after each atom.
Fractional positions:
1 Hf 0.0000 0.0000 0.0000  2 Ni 2.94, 10 Mg 2.98-3.21
2 Mg 0.0000 0.0020 0.4961  1 Ni 2.87, 8 Mg 2.88-3.20, 1 Hf 3.18
3 Mg 0.0000 0.4961 0.0020  1 Ni 2.87, 8 Mg 2.88-3.20, 1 Hf 3.18
4 Mg 0.5000 0.1503 0.6473  7 Mg 2.90-3.23, 2 Ni 2.94, 2 Hf 3.07
5 Mg 0.5000 0.1514 0.1514  10 Mg 2.94-3.23, 2 Hf 2.98
6 Mg 0.5000 0.6203 0.6203  8 Mg 2.91-3.20, 2 Ni 2.99
7 Mg 0.5000 0.6473 0.1503  7 Mg 2.90-3.23, 2 Ni 2.94, 2 Hf 3.07
8 Ni 0.0000 0.4670 0.4670  8 Mg 2.87-2.99, 2 Hf 2.94

VASP energy (eV/atom): -3.06
Symmetry: Amm2
Formation enthalpy at 0 K (meV per atom): 100
Distance to the lowest polymorph of the same formula (meV per atom): 35


The following is a PBE calculation of a relaxed structure of U3TiC4, from Alexandria.

a b c (Å): 5.9493 6.7782 5.7781
angles (deg): 90.00 109.48 90.00
With the nearest neighbours (Å) after each atom.
Fractional positions:
1 U 0.0000 0.1164 0.2500  6 C 2.39-2.50
2 U 0.0000 0.3673 0.7500  6 C 2.39-2.58
3 U 0.0000 0.6327 0.2500  6 C 2.39-2.58
4 U 0.0000 0.8836 0.7500  6 C 2.39-2.50
5 U 0.5000 0.3734 0.2500  6 C 2.36-2.44
6 U 0.5000 0.6266 0.7500  6 C 2.36-2.44
7 Ti 0.5000 0.1183 0.7500  6 C 2.25-2.30
8 Ti 0.5000 0.8817 0.2500  6 C 2.25-2.30
9 C 0.2613 0.3561 0.5126  1 Ti 2.28, 4 U 2.39-2.44
10 C 0.2613 0.6439 0.0126  1 Ti 2.28, 4 U 2.39-2.44
11 C 0.2749 0.1162 0.0045  2 Ti 2.25-2.30, 4 U 2.36-2.50
12 C 0.2749 0.8838 0.5045  2 Ti 2.25-2.30, 4 U 2.36-2.50
13 C 0.7251 0.1162 0.4955  2 Ti 2.25-2.30, 4 U 2.36-2.50
14 C 0.7251 0.8838 0.9955  2 Ti 2.25-2.30, 4 U 2.36-2.50
15 C 0.7387 0.3561 0.9874  1 Ti 2.28, 4 U 2.39-2.44
16 C 0.7387 0.6439 0.4874  1 Ti 2.28, 4 U 2.39-2.44

VASP energy (eV/atom): -10.10
Symmetry: P2/c
Formation enthalpy at 0 K (meV per atom): -265


The following is a PBE calculation of a relaxed structure of Ac3Ni9Ge2, from Alexandria.

a b c (Å): 8.1688 8.1688 8.1688
angles (deg): 151.35 104.38 82.76
With the nearest neighbours (Å) after each atom.
Fractional positions:
1 Ac 0.0000 0.0000 0.0000  4 Ni 3.12, 4 Ge 3.32
2 Ac 0.3084 0.3084 0.0000  12 Ni 2.98-3.18
3 Ac 0.6916 0.6916 0.0000  12 Ni 2.98-3.18
4 Ni 0.0062 0.3041 0.7021  5 Ni 2.45-2.60, 1 Ge 2.48
5 Ni 0.1786 0.8952 0.2834  2 Ge 2.40, 5 Ni 2.45-2.57
6 Ni 0.3882 0.1048 0.2834  2 Ge 2.40, 5 Ni 2.45-2.57
7 Ni 0.3980 0.6959 0.7021  5 Ni 2.45-2.60, 1 Ge 2.48
8 Ni 0.5000 0.0000 0.5000  4 Ni 2.52
9 Ni 0.6020 0.3041 0.2979  5 Ni 2.45-2.60, 1 Ge 2.48
10 Ni 0.6118 0.8952 0.7166  2 Ge 2.40, 5 Ni 2.45-2.57
11 Ni 0.8214 0.1048 0.7166  2 Ge 2.40, 5 Ni 2.45-2.57
12 Ni 0.9938 0.6959 0.2979  5 Ni 2.45-2.60, 1 Ge 2.48
13 Ge 0.2624 0.5000 0.7624  6 Ni 2.40-2.48
14 Ge 0.7376 0.5000 0.2376  6 Ni 2.40-2.48

VASP energy (eV/atom): -5.58
Symmetry: Immm
Formation enthalpy at 0 K (meV per atom): -319